[1]
{
  "formula": "Sr2CaTc",
  "functional": "PBE-GGA",
  "state": "relaxed",
  "lattice_angstrom": [[-3.9118, 3.9734, -1.8812], [-5.0226, -2.9790, 0.7269], [4.1676, 0.8590, 4.0648]],
  "species": ["Sr", "Sr", "Tc", "Ca"],
  "fractional_positions": [[0.5000, 0.5000, 0.0000], [0.0000, 0.0000, 0.0000], [0.2500, 0.7500, 0.5000], [0.7500, 0.2500, 0.5000]]
}

[2]
{
  "formula": "SrCaTc2",
  "functional": "PBE-GGA",
  "state": "relaxed",
  "lattice_angstrom": [[-5.8496, -3.5606, -4.6213], [5.8259, -3.2209, -4.8926], [0.0898, -5.6183, -3.1694]],
  "species": ["Tc", "Tc", "Tc", "Tc", "Sr", "Sr", "Ca", "Ca"],
  "fractional_positions": [[0.6148, 0.1250, 0.2500], [0.1352, 0.6250, 0.2500], [0.8750, 0.8648, 0.7500], [0.3750, 0.3852, 0.7500], [0.7500, 0.2500, 0.5000], [0.0000, 0.0000, 0.0000], [0.5000, 0.5000, 0.0000], [0.2500, 0.7500, 0.5000]]
}

[3]
{
  "formula": "SrCa3Tc",
  "functional": "PBE-GGA",
  "state": "relaxed",
  "lattice_angstrom": [[-0.2336, 1.2292, -5.5534], [-1.1538, -5.4527, -1.1584], [-5.5695, 1.0780, 0.4729]],
  "species": ["Tc", "Ca", "Sr", "Ca", "Ca"],
  "fractional_positions": [[0.0000, 0.0000, 0.0000], [0.0000, 0.5000, 0.0000], [0.5000, 0.5000, 0.5000], [0.5000, 0.0000, 0.0000], [0.0000, 0.0000, 0.5000]]
}

[4]
{
  "formula": "Sr2CaTc",
  "functional": "PBE-GGA",
  "state": "relaxed",
  "lattice_angstrom": [[0.0000, 4.0129, 4.0129], [4.0129, 0.0000, 4.0129], [4.0129, 4.0129, 0.0000]],
  "species": ["Tc", "Sr", "Sr", "Ca"],
  "fractional_positions": [[0.5000, 0.5000, 0.5000], [0.2500, 0.2500, 0.2500], [0.7500, 0.7500, 0.7500], [0.0000, 0.0000, 0.0000]]
}

[5]
{
  "formula": "SrCaTc2",
  "functional": "PBE-GGA",
  "state": "relaxed",
  "lattice_angstrom": [[-3.1886, 1.5347, 3.4225], [-4.2606, -2.3821, 0.6394], [-0.7338, -2.6846, 4.0609]],
  "species": ["Tc", "Ca", "Tc", "Sr"],
  "fractional_positions": [[0.0000, 0.0000, 0.0000], [0.5000, 0.5000, 0.5000], [0.2500, 0.2500, 0.2500], [0.7500, 0.7500, 0.7500]]
}

[6]
{
  "formula": "SrCaTc2",
  "functional": "PBE-GGA",
  "state": "relaxed",
  "lattice_angstrom": [[2.8719, 0.0648, 0.0000], [-0.0705, 2.8718, 0.0000], [0.0000, 0.0000, 10.0882]],
  "species": ["Tc", "Sr", "Tc", "Ca"],
  "fractional_positions": [[0.0000, 0.0000, 0.4915], [0.5000, 0.5000, 0.7500], [0.0000, 0.0000, 0.0085], [0.5000, 0.5000, 0.2500]]
}

[7]
{
  "formula": "SrCaTc",
  "functional": "PBE-GGA",
  "state": "relaxed",
  "lattice_angstrom": [[5.2917, 0.0000, 0.0000], [-2.6459, 4.5828, 0.0000], [0.0000, 0.0000, 3.2449]],
  "species": ["Ca", "Tc", "Sr"],
  "fractional_positions": [[0.0000, 0.0000, 0.8310], [0.3333, 0.6667, 0.8357], [0.6667, 0.3333, 0.3333]]
}

[8]
{
  "formula": "SrCaTc2",
  "functional": "PBE-GGA",
  "state": "relaxed",
  "lattice_angstrom": [[6.0478, 0.0009, -0.0166], [2.5261, 5.4950, 0.0166], [-3.6962, -3.6695, 3.0740]],
  "species": ["Tc", "Sr", "Tc", "Ca"],
  "fractional_positions": [[0.9461, 0.9461, 0.0000], [0.2280, 0.7280, 0.5000], [0.8118, 0.3118, 0.5000], [0.5141, 0.5141, 0.0000]]
}

| no. | energy (eV for the cell shown) | spin magnetization (Bohr magnetons per cell) | formation energy from the elements (eV per atom) |
| --- | --- | --- | --- |
| 1 | -12.89 | 1.2 | 0.709 |
| 2 | -38.04 | 3.9 | 1.349 |
| 3 | -16.11 | 1.4 | 0.389 |
| 4 | -12.86 | 1.3 | 0.719 |
| 5 | -20.94 | 0.0 | 0.869 |
| 6 | -20.52 | 0.0 | 0.974 |
| 7 | -11.59 | 0.0 | 0.819 |
| 8 | -22.67 | 0.0 | 0.436 |